Entry from the Alexandria database: a relaxed structure of Pr2AgIrAu (PBE).

Cell lengths 4.2470, 4.2470, 13.8603 Å; angles 90.00, 90.00, 90.00 degrees
Atoms (fractional coordinates):
Ag1 0.0000 0.0000 0.5000
Au1 0.5000 0.0000 0.6455
Ir1 0.0000 0.5000 0.8941
Pr1 0.5000 0.0000 0.8921
Ir2 0.5000 0.0000 0.1059
Pr2 0.5000 0.0000 0.3029
Pr3 0.0000 0.5000 0.6971
Au2 0.0000 0.5000 0.3545
Ag2 0.5000 0.5000 0.5000
Pr4 0.0000 0.5000 0.1079

- Crystal system: tetragonal
- Energy relative to the elements: -0.5064 eV/atom